# 1
Computed, not measured: a relaxed ZrTa4Cu crystal at the PBE level of DFT.

Energy: -9.606 eV per atom
Calculated volume: 117 Å³/cell
Crystal system: cubic

Lattice parameters (Å, degrees): 5.4926 5.4926 5.4926 60.00 60.00 60.00
Sites, in units of the cell vectors:
Zr (0.7500, 0.7500, 0.7500)
Ta (0.8702, 0.3766, 0.3766)
Ta (0.3766, 0.3766, 0.8702)
Ta (0.3766, 0.8702, 0.3766)
Ta (0.3766, 0.3766, 0.3766)
Cu (0.0000, 0.0000, 0.0000)

# 2
Computed, not measured: a relaxed Zr2TaCu crystal at the PBE level of DFT.

Relative energy among the computed polymorphs: 0.086 eV per atom
Calculated volume: 77 Å³/cell
Crystal system: orthorhombic

Lattice parameters (Å, degrees): 5.7953 5.7953 5.7953 148.72 129.60 60.52
Sites, in units of the cell vectors:
Cu (0.4881, 0.4881, 0.0000)
Ta (0.2730, 0.7730, 0.5000)
Zr (0.0097, 0.0097, 0.0000)
Zr (0.7292, 0.2292, 0.5000)

# 3
Computed, not measured: a relaxed Zr2TaCu crystal at the PBE level of DFT.

Relative energy among the computed polymorphs: 0.199 eV per atom
Calculated volume: 77 Å³/cell
Crystal system: orthorhombic

Lattice parameters (Å, degrees): 5.6390 5.6390 5.0365 63.52 63.52 32.68
Sites, in units of the cell vectors:
Cu (0.7500, 0.7500, 0.7500)
Ta (0.2500, 0.2500, 0.2500)
Zr (0.0156, 0.0156, 0.9846)
Zr (0.4844, 0.4844, 0.5154)

# 4
Computed, not measured: a relaxed ZrTa2Cu crystal at the PBE level of DFT.

Relative energy among the computed polymorphs: 0.091 eV per atom
Calculated volume: 71 Å³/cell
Crystal system: tetragonal

Lattice parameters (Å, degrees): 2.8577 2.8577 8.7207 90.00 90.00 90.00
Sites, in units of the cell vectors:
Cu (0.5000, 0.5000, 0.7500)
Ta (0.0000, 0.0000, 0.9682)
Ta (0.0000, 0.0000, 0.5318)
Zr (0.5000, 0.5000, 0.2500)

# 5
Computed, not measured: a relaxed ZrTa2Cu crystal at the PBE level of DFT.

Relative energy among the computed polymorphs: 0.082 eV per atom
Calculated volume: 71 Å³/cell
Crystal system: cubic

Lattice parameters (Å, degrees): 4.6529 4.6529 4.6529 60.00 60.00 60.00
Sites, in units of the cell vectors:
Cu (0.5000, 0.5000, 0.5000)
Ta (0.0000, 0.0000, 0.0000)
Ta (0.2500, 0.2500, 0.2500)
Zr (0.7500, 0.7500, 0.7500)

# 6
Computed, not measured: a relaxed ZrTa2Cu crystal at the PBE level of DFT.

Relative energy among the computed polymorphs: 0.261 eV per atom
Calculated volume: 74 Å³/cell
Crystal system: trigonal

Lattice parameters (Å, degrees): 9.2905 9.2905 9.2905 18.98 18.98 18.98
Sites, in units of the cell vectors:
Cu (0.7500, 0.7500, 0.7500)
Ta (0.0069, 0.0069, 0.0069)
Ta (0.4931, 0.4931, 0.4931)
Zr (0.2500, 0.2500, 0.2500)

# 7
Computed, not measured: a relaxed Zr2TaCu crystal at the PBE level of DFT.

Relative energy among the computed polymorphs: 0.616 eV per atom
Calculated volume: 160 Å³/cell
Crystal system: tetragonal

Lattice parameters (Å, degrees): 4.0267 4.0267 10.2809 78.71 78.71 90.00
Sites, in units of the cell vectors:
Cu (0.5000, 0.5000, 0.0000)
Cu (0.2500, 0.7500, 0.5000)
Zr (0.6250, 0.1250, 0.2500)
Zr (0.1250, 0.6250, 0.2500)
Zr (0.3750, 0.3750, 0.7500)
Zr (0.8750, 0.8750, 0.7500)
Ta (0.0000, 0.0000, 0.0000)
Ta (0.7500, 0.2500, 0.5000)

# 8
Computed, not measured: a relaxed ZrTa2Cu crystal at the PBE level of DFT.

Relative energy among the computed polymorphs: 0.288 eV per atom
Calculated volume: 71 Å³/cell
Crystal system: cubic

Lattice parameters (Å, degrees): 4.6376 4.6376 4.6376 60.00 60.00 60.00
Sites, in units of the cell vectors:
Cu (0.0000, 0.0000, 0.0000)
Zr (0.5000, 0.5000, 0.5000)
Ta (0.2500, 0.2500, 0.2500)
Ta (0.7500, 0.7500, 0.7500)

# 9
Computed, not measured: a relaxed ZrTa2Cu crystal at the PBE level of DFT.

Relative energy among the computed polymorphs: 0.036 eV per atom
Calculated volume: 71 Å³/cell
Crystal system: tetragonal

Lattice parameters (Å, degrees): 2.8590 2.8590 8.7163 90.00 90.00 90.00
Sites, in units of the cell vectors:
Cu (0.5000, 0.5000, 0.7604)
Ta (0.0000, 0.0000, 0.9764)
Ta (0.5000, 0.5000, 0.2417)
Zr (0.0000, 0.0000, 0.5215)

# 10
Computed, not measured: a relaxed Zr2TaCu crystal at the PBE level of DFT.

Relative energy among the computed polymorphs: 0.094 eV per atom
Calculated volume: 76 Å³/cell
Crystal system: cubic

Lattice parameters (Å, degrees): 4.7447 4.7447 4.7447 60.00 60.00 60.00
Sites, in units of the cell vectors:
Cu (0.0000, 0.0000, 0.0000)
Zr (0.2500, 0.2500, 0.2500)
Zr (0.7500, 0.7500, 0.7500)
Ta (0.5000, 0.5000, 0.5000)

# 11
Computed, not measured: a relaxed Zr2TaCu crystal at the PBE level of DFT.

Relative energy among the computed polymorphs: 0.106 eV per atom
Calculated volume: 76 Å³/cell
Crystal system: tetragonal

Lattice parameters (Å, degrees): 5.3289 5.3289 5.3289 134.38 134.38 66.50
Sites, in units of the cell vectors:
Cu (0.5000, 0.5000, 0.0000)
Ta (0.7500, 0.2500, 0.5000)
Zr (0.0000, 0.0000, 0.0000)
Zr (0.2500, 0.7500, 0.5000)

# 12
Computed, not measured: a relaxed Zr3TaCu crystal at the PBE level of DFT.

Relative energy among the computed polymorphs: 0.000 eV per atom
Calculated volume: 115 Å³/cell
Crystal system: cubic

Lattice parameters (Å, degrees): 4.8577 4.8577 4.8577 90.00 90.00 90.00
Sites, in units of the cell vectors:
Cu (0.0000, 0.0000, 0.0000)
Zr (0.0000, 0.5000, 0.0000)
Zr (0.0000, 0.0000, 0.5000)
Zr (0.5000, 0.0000, 0.0000)
Ta (0.5000, 0.5000, 0.5000)

# 13
Computed, not measured: a relaxed Zr2TaCu crystal at the PBE level of DFT.

Relative energy among the computed polymorphs: 0.189 eV per atom
Calculated volume: 79 Å³/cell
Crystal system: trigonal

Lattice parameters (Å, degrees): 9.4384 9.4384 9.4384 19.14 19.14 19.14
Sites, in units of the cell vectors:
Cu (0.2500, 0.2500, 0.2500)
Ta (0.7500, 0.7500, 0.7500)
Zr (0.9965, 0.9965, 0.9965)
Zr (0.5035, 0.5035, 0.5035)

# 14
Computed, not measured: a relaxed Zr2Ta2Cu crystal at the PBE level of DFT.

Energy: -8.681 eV per atom
Calculated volume: 199 Å³/cell
Crystal system: tetragonal

Lattice parameters (Å, degrees): 6.9369 6.9369 4.1451 90.00 90.00 90.00
Sites, in units of the cell vectors:
Cu (0.0000, 0.0000, 0.0000)
Cu (0.5000, 0.5000, 0.0000)
Zr (0.1682, 0.6682, 0.5000)
Zr (0.6682, 0.8318, 0.5000)
Zr (0.8318, 0.3318, 0.5000)
Zr (0.3318, 0.1682, 0.5000)
Ta (0.3638, 0.8638, 0.0000)
Ta (0.8638, 0.6362, 0.0000)
Ta (0.6362, 0.1362, 0.0000)
Ta (0.1362, 0.3638, 0.0000)

# 15
Computed, not measured: a relaxed ZrTa2Cu crystal at the PBE level of DFT.

Relative energy among the computed polymorphs: 0.149 eV per atom
Calculated volume: 72 Å³/cell
Crystal system: monoclinic

Lattice parameters (Å, degrees): 5.5928 5.5928 2.8573 79.14 79.14 119.79
Sites, in units of the cell vectors:
Cu (0.0000, 0.5000, 0.5000)
Ta (0.0000, 0.0000, 0.0000)
Ta (0.5000, 0.5000, 0.0000)
Zr (0.5000, 0.0000, 0.5000)

# 16
Computed, not measured: a relaxed Zr2TaCu crystal at the PBE level of DFT.

Relative energy among the computed polymorphs: 0.125 eV per atom
Calculated volume: 76 Å³/cell
Crystal system: tetragonal

Lattice parameters (Å, degrees): 5.2074 5.2074 5.2074 132.15 132.15 70.00
Sites, in units of the cell vectors:
Cu (0.2500, 0.7500, 0.5000)
Ta (0.7500, 0.2500, 0.5000)
Zr (0.0000, 0.0000, 0.0000)
Zr (0.5000, 0.5000, 0.0000)

# 17
Computed, not measured: a relaxed ZrTa3Cu crystal at the PBE level of DFT.

Relative energy among the computed polymorphs: 0.000 eV per atom
Calculated volume: 103 Å³/cell
Crystal system: cubic

Lattice parameters (Å, degrees): 4.6933 4.6933 4.6933 90.00 90.00 90.00
Sites, in units of the cell vectors:
Cu (0.0000, 0.0000, 0.0000)
Zr (0.5000, 0.5000, 0.5000)
Ta (0.0000, 0.5000, 0.0000)
Ta (0.0000, 0.0000, 0.5000)
Ta (0.5000, 0.0000, 0.0000)

# 18
Computed, not measured: a relaxed ZrTa3Cu crystal at the PBE level of DFT.

Relative energy among the computed polymorphs: 1.132 eV per atom
Calculated volume: 116 Å³/cell
Crystal system: cubic

Lattice parameters (Å, degrees): 4.8784 4.8784 4.8784 90.00 90.00 90.00
Sites, in units of the cell vectors:
Cu (0.5000, 0.5000, 0.5000)
Zr (0.0000, 0.0000, 0.0000)
Ta (0.0000, 0.5000, 0.0000)
Ta (0.0000, 0.0000, 0.5000)
Ta (0.5000, 0.0000, 0.0000)

# 19
Computed, not measured: a relaxed Zr2TaCu crystal at the PBE level of DFT.

Relative energy among the computed polymorphs: 0.000 eV per atom
Calculated volume: 77 Å³/cell
Crystal system: orthorhombic

Lattice parameters (Å, degrees): 3.1377 3.5839 6.8212 90.00 90.00 90.00
Sites, in units of the cell vectors:
Cu (0.5000, 0.5000, 0.2500)
Ta (0.5000, 0.5000, 0.7500)
Zr (0.0000, 0.0000, 0.0078)
Zr (0.0000, 0.0000, 0.4922)

# 20
Computed, not measured: a relaxed ZrTa2Cu crystal at the PBE level of DFT.

Relative energy among the computed polymorphs: 0.060 eV per atom
Calculated volume: 72 Å³/cell
Crystal system: orthorhombic

Lattice parameters (Å, degrees): 5.6265 5.6265 5.6265 147.05 131.07 60.26
Sites, in units of the cell vectors:
Cu (0.2500, 0.7500, 0.5000)
Ta (0.0174, 0.0174, 0.0000)
Ta (0.4826, 0.4826, 0.0000)
Zr (0.7500, 0.2500, 0.5000)

# 21
Computed, not measured: a relaxed Zr2TaCu crystal at the PBE level of DFT.

Relative energy among the computed polymorphs: 0.079 eV per atom
Calculated volume: 76 Å³/cell
Crystal system: tetragonal

Lattice parameters (Å, degrees): 4.6841 4.6823 3.4625 90.00 90.00 90.00
Sites, in units of the cell vectors:
Cu (0.5000, 0.0000, 0.5000)
Ta (0.0000, 0.5000, 0.5000)
Zr (0.0000, 0.0000, 0.0000)
Zr (0.5000, 0.5000, 0.0000)

# 22
Computed, not measured: a relaxed ZrTa2Cu crystal at the PBE level of DFT.

Relative energy among the computed polymorphs: 0.156 eV per atom
Calculated volume: 72 Å³/cell
Crystal system: monoclinic

Lattice parameters (Å, degrees): 4.9069 2.8973 5.1456 82.01 90.00 90.00
Sites, in units of the cell vectors:
Cu (0.5000, 0.7500, 0.7500)
Ta (0.0000, 0.9632, 0.9979)
Ta (0.0000, 0.5368, 0.5021)
Zr (0.5000, 0.2500, 0.2500)

# 23
Computed, not measured: a relaxed ZrTa2Cu crystal at the PBE level of DFT.

Relative energy among the computed polymorphs: 0.157 eV per atom
Calculated volume: 72 Å³/cell
Crystal system: monoclinic

Lattice parameters (Å, degrees): 4.6366 2.8076 5.6506 79.02 90.00 90.00
Sites, in units of the cell vectors:
Cu (0.5000, 0.7922, 0.7526)
Ta (0.0000, 0.9747, 0.0121)
Ta (0.5000, 0.2418, 0.2280)
Zr (0.0000, 0.4914, 0.5073)

# 24
Computed, not measured: a relaxed ZrTa2Cu crystal at the PBE level of DFT.

Relative energy among the computed polymorphs: 0.117 eV per atom
Calculated volume: 72 Å³/cell
Crystal system: orthorhombic

Lattice parameters (Å, degrees): 5.1219 5.1219 5.1219 132.07 132.85 69.50
Sites, in units of the cell vectors:
Cu (0.2505, 0.7505, 0.5000)
Ta (0.9986, 0.9986, 0.0000)
Ta (0.7498, 0.2498, 0.5000)
Zr (0.5011, 0.5011, 0.0000)

# 25
Computed, not measured: a relaxed Zr3TaCu crystal at the PBE level of DFT.

Relative energy among the computed polymorphs: 0.371 eV per atom
Calculated volume: 133 Å³/cell
Crystal system: cubic

Lattice parameters (Å, degrees): 5.1071 5.1071 5.1071 90.00 90.00 90.00
Sites, in units of the cell vectors:
Cu (0.5000, 0.5000, 0.5000)
Zr (0.0000, 0.5000, 0.0000)
Zr (0.0000, 0.0000, 0.5000)
Zr (0.5000, 0.0000, 0.0000)
Ta (0.0000, 0.0000, 0.0000)

# 26
Computed, not measured: a relaxed ZrTaCu crystal at the PBE level of DFT.

Relative energy among the computed polymorphs: 0.219 eV per atom
Calculated volume: 54 Å³/cell
Crystal system: trigonal

Lattice parameters (Å, degrees): 2.9349 2.9349 7.2711 90.00 90.00 120.00
Sites, in units of the cell vectors:
Cu (0.0000, 0.0000, 0.0089)
Ta (0.6667, 0.3333, 0.3094)
Zr (0.3333, 0.6667, 0.6816)

# 27
Computed, not measured: a relaxed ZrTaCu crystal at the PBE level of DFT.

Relative energy among the computed polymorphs: 0.000 eV per atom
Calculated volume: 53 Å³/cell
Crystal system: tetragonal

Lattice parameters (Å, degrees): 6.5088 6.5088 6.5088 153.94 153.95 37.18
Sites, in units of the cell vectors:
Cu (0.9938, 0.9938, 0.0000)
Ta (0.3465, 0.3465, 0.0000)
Zr (0.6597, 0.6597, 0.0000)

# 28
Computed, not measured: a relaxed ZrTa2Cu2 crystal at the PBE level of DFT.

Relative energy among the computed polymorphs: 0.020 eV per atom
Calculated volume: 88 Å³/cell
Crystal system: tetragonal

Lattice parameters (Å, degrees): 3.9059 3.9059 6.3973 72.23 72.23 90.00
Sites, in units of the cell vectors:
Cu (0.4021, 0.4021, 0.1958)
Cu (0.5979, 0.5979, 0.8042)
Zr (0.0000, 0.0000, 0.0000)
Ta (0.7500, 0.2500, 0.5000)
Ta (0.2500, 0.7500, 0.5000)

# 29
Computed, not measured: a relaxed Zr4TaCu crystal at the PBE level of DFT.

Energy: -7.731 eV per atom
Calculated volume: 129 Å³/cell
Crystal system: cubic

Lattice parameters (Å, degrees): 5.6644 5.6644 5.6644 60.00 60.00 60.00
Sites, in units of the cell vectors:
Zr (0.8799, 0.3734, 0.3734)
Zr (0.3734, 0.3734, 0.8799)
Zr (0.3734, 0.8799, 0.3734)
Zr (0.3734, 0.3734, 0.3734)
Ta (0.0000, 0.0000, 0.0000)
Cu (0.7500, 0.7500, 0.7500)

# 30
Computed, not measured: a relaxed ZrTa2Cu crystal at the PBE level of DFT.

Relative energy among the computed polymorphs: 0.027 eV per atom
Calculated volume: 71 Å³/cell
Crystal system: orthorhombic

Lattice parameters (Å, degrees): 2.8641 2.8641 8.8592 90.00 90.00 101.34
Sites, in units of the cell vectors:
Cu (0.5000, 0.5000, 0.7605)
Ta (0.0000, 0.0000, 0.9824)
Ta (0.5000, 0.5000, 0.2395)
Zr (0.0000, 0.0000, 0.5176)